VASP calculation (PBE-GGA) on a relaxed structure of LaFe4Ru2.

Cell: 7.1494 7.1494 7.1494 Å, 144.05 144.05 51.75°
With the nearest neighbours (Å) after each atom.
Atoms (fractional coordinates):
La 0.0000 0.0000 0.0000  4 Fe 2.21
Fe 0.0000 0.5000 0.5000  2 La 2.21
Fe 0.2105 0.2105 0.0000  1 Ru 2.29
Fe 0.5000 0.0000 0.5000  2 La 2.21
Fe 0.7895 0.7895 0.0000  1 Ru 2.29
Ru 0.3886 0.3886 0.0000  1 Fe 2.29
Ru 0.6114 0.6114 0.0000  1 Fe 2.29

## Properties
Energy of formation from the pure elements   1457 meV per atom
Mass density   7.5 g/cm³



VASP calculation (PBE-GGA) on a relaxed structure of LaFe2Ru.

Cell: 5.2545 5.2545 5.2545 Å, 144.12 125.45 67.03°
With the nearest neighbours (Å) after each atom.
Atoms (fractional coordinates):
La 0.0000 0.0000 0.0000  4 Ru 2.83-3.17, 8 Fe 2.90-3.11
Fe 0.5044 0.5044 0.0000  2 Fe 2.52, 2 Ru 2.65
Fe 0.7248 0.2248 0.5000  2 Fe 2.52
Ru 0.2651 0.7651 0.5000  6 Fe 2.65-2.92, 2 La 2.83

## Properties
Energy of formation from the pure elements   411 meV per atom
Mass density   8.6 g/cm³



VASP calculation (PBE-GGA) on a relaxed structure of LaFe2Ru.

Cell: 5.3894 5.3894 5.3894 Å, 137.94 137.94 60.99°
With the nearest neighbours (Å) after each atom.
Atoms (fractional coordinates):
La 0.0000 0.0000 0.0000  4 Ru 2.74, 8 Fe 3.02
Fe 0.2500 0.7500 0.5000  4 Fe 2.74, 4 Ru 3.02, 4 La 3.02
Fe 0.7500 0.2500 0.5000  4 Fe 2.74, 4 Ru 3.02, 4 La 3.02
Ru 0.5000 0.5000 0.0000  4 La 2.74, 8 Fe 3.02

## Properties
Energy of formation from the pure elements   402 meV per atom
Mass density   8.4 g/cm³



VASP calculation (PBE-GGA) on a relaxed structure of LaFe2Ru.

Cell: 4.5448 4.5448 4.5448 Å, 60.00 60.00 60.00°
With the nearest neighbours (Å) after each atom.
Atoms (fractional coordinates):
La 0.0000 0.0000 0.0000  8 Fe 2.78
Fe 0.2500 0.2500 0.2500  4 La 2.78, 4 Ru 2.78
Fe 0.7500 0.7500 0.7500  4 Ru 2.78, 4 La 2.78
Ru 0.5000 0.5000 0.5000  8 Fe 2.78

## Properties
Energy of formation from the pure elements   370 meV per atom
Mass density   8.8 g/cm³



VASP calculation (PBE-GGA) on a relaxed structure of LaFe2Ru.

Cell: 4.5497 4.5497 4.5497 Å, 60.00 60.00 60.00°
With the nearest neighbours (Å) after each atom.
Atoms (fractional coordinates):
La 0.0000 0.0000 0.0000  4 Fe 2.79, 4 Ru 2.79
Fe 0.5000 0.5000 0.5000  4 Fe 2.79, 4 Ru 2.79
Fe 0.7500 0.7500 0.7500  4 Fe 2.79, 4 La 2.79
Ru 0.2500 0.2500 0.2500  4 La 2.79, 4 Fe 2.79

## Properties
Energy of formation from the pure elements   345 meV per atom
Mass density   8.8 g/cm³



VASP calculation (PBE-GGA) on a relaxed structure of LaFe2Ru.

Cell: 5.6570 5.6570 5.6570 Å, 43.66 43.66 43.66°
With the nearest neighbours (Å) after each atom.
Atoms (fractional coordinates):
La 0.0000 0.0000 0.0000  8 Fe 2.94-3.26
Fe 0.1917 0.1917 0.1917  3 Ru 2.46, 3 Fe 2.55
Fe 0.8083 0.8083 0.8083  3 Ru 2.46, 3 Fe 2.55
Ru 0.5000 0.5000 0.5000  6 Fe 2.46

## Properties
Energy of formation from the pure elements   73 meV per atom
Mass density   7.5 g/cm³



VASP calculation (PBE-GGA) on a relaxed structure of LaFe2Ru.

Cell: 8.9513 8.9513 8.9513 Å, 150.66 150.66 41.97°
With the nearest neighbours (Å) after each atom.
Atoms (fractional coordinates):
La 0.3750 0.6250 0.7500  4 Ru 3.21, 8 Fe 3.28
La 0.6250 0.3750 0.2500  4 Ru 3.21, 8 Fe 3.28
Fe 0.0000 0.0000 0.0000  2 Fe 2.27, 2 Ru 2.38
Fe 0.0000 0.0000 0.5000  2 Fe 2.27, 2 Ru 2.38
Fe 0.0000 0.5000 0.0000  2 Fe 2.27, 2 Ru 2.38
Fe 0.5000 0.0000 0.5000  2 Fe 2.27, 2 Ru 2.38
Ru 0.1250 0.8750 0.2500  4 Fe 2.38
Ru 0.8750 0.1250 0.7500  4 Fe 2.38

## Properties
Energy of formation from the pure elements   458 meV per atom
Mass density   6.8 g/cm³



VASP calculation (PBE-GGA) on a relaxed structure of LaFeRu.

Cell: 5.3682 5.3682 5.3682 Å, 122.59 115.97 91.34°
With the nearest neighbours (Å) after each atom.
Atoms (fractional coordinates):
La 0.3754 0.1254 0.2500  6 Ru 3.09-3.15, 6 Fe 3.10-3.26, 4 La 3.19-3.41
La 0.6246 0.8746 0.7500  6 Ru 3.09-3.15, 6 Fe 3.10-3.26, 4 La 3.19-3.41
Fe 0.0000 0.0000 0.5000  2 Fe 2.58, 4 Ru 2.68
Fe 0.0000 0.5000 0.0000  2 Fe 2.58, 4 Ru 2.68
Ru 0.0000 0.5000 0.5000  4 Fe 2.68, 2 Ru 2.85
Ru 0.5000 0.5000 0.0000  4 Fe 2.68, 2 Ru 2.85

## Properties
Energy of formation from the pure elements   -72 meV per atom
Mass density   8.9 g/cm³



no.,V (Å³ per cell),density of states at the Fermi level (states/eV/f.u.)
1,125.26,9.407
2,68.29,4.815
3,69.48,4.135
4,66.38,2.645
5,66.59,3.876
6,78.31,4.737
7,171.78,4.280
8,110.10,3.124